(1)
Here is an optimized crystal structure of KSbCl5 from Alexandria via LeMat-Bulk. Energies are from PBE.

Energy relative to the elements, uncorrected in meV/atom: -1057
Space-group type: Cc, No. 9
Size of the total moment in μB/atom: 0.000
Theoretical density in Mg/m³: 2.362

Cell lengths 7.343, 7.343, 10.509 Å; angles 94.38, 111.23, 111.88 degrees
Fractional coordinates of all 14 atoms:
K 0.723 0.473 0.250
K 0.276 0.527 0.750
Sb 0.000 0.000 0.000
Sb 0.500 0.000 0.500
Cl 0.795 0.096 0.113
Cl 0.150 0.796 0.515
Cl 0.517 0.318 0.613
Cl 0.296 0.046 0.250
Cl 0.780 0.635 0.984
Cl 0.219 0.365 0.015
Cl 0.704 0.954 0.750
Cl 0.484 0.683 0.388
Cl 0.850 0.204 0.484
Cl 0.205 0.903 0.888


(2)
Here is an optimized crystal structure of LaScSb2 from Alexandria via LeMat-Bulk. Energies are from PBE.

Energy relative to the elements, uncorrected in meV/atom: -1008
Space-group type: R3m, No. 160
Energy above the most stable polymorph in this dataset in meV per atom: 77
Size of the total moment in μB/atom: 0.000
Theoretical density in Mg/m³: 5.840

Cell lengths 4.353, 4.353, 7.822 Å; angles 73.85, 73.85, 60.00 degrees
Fractional coordinates of all 4 atoms:
La 0.498 0.498 0.507
Sc 0.669 0.669 0.994
Sb 0.073 0.073 0.781
Sb 0.260 0.260 0.219


(3)
Here is an optimized crystal structure of Cd5Pd12Pt2 from Alexandria via LeMat-Bulk. Energies are from PBE.

Space-group type: C2/m, No. 12
Energy of formation in eV/atom: -0.179
Size of the total moment in μB/atom: 0.000
Theoretical density in Mg/m³: 11.413

Cell lengths 7.506, 10.011, 6.726 Å; angles 131.99, 90.00, 112.02 degrees
Fractional coordinates of all 19 atoms:
Cd 0.300 0.601 0.590
Cd 0.238 0.475 0.900
Cd 0.000 0.000 0.500
Cd 0.762 0.525 0.100
Cd 0.700 0.399 0.410
Pd 0.090 0.180 0.288
Pd 0.031 0.692 0.941
Pd 0.661 0.692 0.941
Pd 0.180 0.758 0.416
Pd 0.578 0.758 0.416
Pd 0.557 0.115 0.786
Pd 0.443 0.885 0.214
Pd 0.820 0.242 0.584
Pd 0.422 0.242 0.584
Pd 0.969 0.308 0.059
Pd 0.339 0.308 0.059
Pd 0.910 0.820 0.712
Pt 0.684 0.000 0.000
Pt 0.316 0.000 0.000


(4)
Here is an optimized crystal structure of HfGa3O from Alexandria via LeMat-Bulk. Energies are from PBE.

Energy relative to the elements, uncorrected in meV/atom: -289
Space-group type: Pm-3m, No. 221
Energy above the most stable polymorph in this dataset in meV per atom: 0
Size of the total moment in μB/atom: 0.000
Theoretical density in Mg/m³: 8.290

Cell lengths 4.324, 4.324, 4.324 Å; angles 90.00, 90.00, 90.00 degrees
Fractional coordinates of all 5 atoms:
Hf 0.500 0.500 0.500
O 0.000 0.000 0.000
Ga 0.000 0.500 0.000
Ga 0.000 0.000 0.500
Ga 0.500 0.000 0.000


(5)
Here is an optimized crystal structure of RbTi2Ag from Alexandria via LeMat-Bulk. Energies are from PBE.

Space-group type: Fm-3m, No. 225
Energy above the most stable polymorph in this dataset in meV per atom: 67
Energy of formation in eV/atom: 1.181
Size of the total moment in μB/atom: 0.506
Theoretical density in Mg/m³: 5.547

Cell lengths 4.965, 4.965, 4.965 Å; angles 60.00, 60.00, 60.00 degrees
Each line ends with the local moment (μB).
Fractional coordinates of all 4 atoms:
Rb 0.000 0.000 0.000  0.03
Ag 0.500 0.500 0.500  0.01
Ti 0.250 0.250 0.250  0.76
Ti 0.750 0.750 0.750  0.76


(6)
Here is an optimized crystal structure of TmLuMnIn from Alexandria via LeMat-Bulk. Energies are from PBE.

Space-group type: F-43m, No. 216
Energy of formation in eV/atom: -0.095
Size of the total moment in μB/atom: 0.855
Theoretical density in Mg/m³: 9.047

Cell lengths 5.109, 5.109, 5.109 Å; angles 60.00, 60.00, 60.00 degrees
Each line ends with the local moment (μB).
Fractional coordinates of all 4 atoms:
Lu 0.250 0.250 0.250  -0.17
Tm 0.750 0.750 0.750  -0.18
Mn 0.000 0.000 0.000  3.60
In 0.500 0.500 0.500  0.00


(7)
Here is an optimized crystal structure of CsTaReN4 from Alexandria via LeMat-Bulk. Energies are from PBE.

Energy relative to the elements, uncorrected in meV/atom: -299
Space-group type: P2_1/m, No. 11
Size of the total moment in μB/atom: 0.000
Theoretical density in Mg/m³: 7.072

Cell lengths 5.750, 5.882, 9.385 Å; angles 90.00, 124.64, 90.00 degrees
Fractional coordinates of all 14 atoms:
Cs 0.617 0.750 0.914
Cs 0.383 0.250 0.086
Ta 0.831 0.750 0.468
Ta 0.169 0.250 0.532
Re 0.261 0.750 0.377
Re 0.739 0.250 0.623
N 0.000 0.474 0.635
N 0.000 0.974 0.365
N 0.000 0.526 0.365
N 0.000 0.026 0.635
N 0.421 0.750 0.250
N 0.579 0.250 0.750
N 0.577 0.750 0.585
N 0.423 0.250 0.415


(8)
Here is an optimized crystal structure of TbPuCuPd from Alexandria via LeMat-Bulk. Energies are from PBE.

Space-group type: F-43m, No. 216
Energy of formation in eV/atom: -0.305
Size of the total moment in μB/atom: 1.420
Theoretical density in Mg/m³: 10.967

Cell lengths 4.969, 4.969, 4.969 Å; angles 60.00, 60.00, 60.00 degrees
Each line ends with the local moment (μB).
Fractional coordinates of all 4 atoms:
Tb 0.500 0.500 0.500  0.12
Cu 0.250 0.250 0.250  0.03
Pd 0.750 0.750 0.750  -0.02
Pu 0.000 0.000 0.000  5.28


(9)
Here is an optimized crystal structure of Fe2CoHg from Alexandria via LeMat-Bulk. Energies are from PBE.

Space-group type: R-3m, No. 166
Energy of formation in eV/atom: 0.398
Size of the total moment in μB/atom: 1.806
Theoretical density in Mg/m³: 10.595

Cell lengths 8.462, 8.462, 8.462 Å; angles 19.35, 19.35, 19.35 degrees
Each line ends with the local moment (μB).
Fractional coordinates of all 4 atoms:
Co 0.750 0.750 0.750  1.74
Fe 0.011 0.011 0.011  2.78
Fe 0.489 0.489 0.489  2.78
Hg 0.250 0.250 0.250  -0.03


(10)
Here is an optimized crystal structure of AcMgBiIr from Alexandria via LeMat-Bulk. Energies are from PBE.

Space-group type: F-43m, No. 216
Energy of formation in eV/atom: -0.142
Size of the total moment in μB/atom: 0.000
Theoretical density in Mg/m³: 10.893

Cell lengths 5.201, 5.201, 5.201 Å; angles 60.00, 60.00, 60.00 degrees
Fractional coordinates of all 4 atoms:
Mg 0.500 0.500 0.500
Ac 0.250 0.250 0.250
Ir 0.000 0.000 0.000
Bi 0.750 0.750 0.750